A relaxed structure of ZnIn2Ag5, computed with PBE.

abc: 6.2348 6.2348 4.7980
angles: 90.00 90.00 90.00
With the nearest neighbours (Å) after each atom.
Space group P4/mmm (No. 123)
Inequivalent atoms, fractional coordinates:
Zn 0.0000 0.0000 0.0000 [1 per cell]  6 Ag 2.40-2.50
In 0.0000 0.5000 0.5000 [2 per cell]  10 Ag 3.12-3.27
Ag 0.0000 0.0000 0.5000 [1 per cell]  2 Zn 2.40
Ag 0.2832 0.2832 0.0000 [4 per cell]  1 Zn 2.50, 2 Ag 2.70

Computed properties:
**Calculated formation energy**: 2.29 eV per formula unit
**Fermi-level density of states**: 0.40 states/eV per atom